1.
{
  "formula": "AcZnPb",
  "functional": "GGA-PBE",
  "state": "relaxed",
  "rho_g_cm3": 9.2,
  "polymorph_energy_kj_per_mol_atoms": 2.23,
  "final_energy_ev_per_atom": -3.441,
  "sg": "P3m1, No. 156",
  "formation_energy_ev_per_fu": -1.23,
  "volume_a3_per_cell": 90.5,
  "cell": [[4.7097, 0.0000, 0.0000], [-2.3549, 4.0787, 0.0000], [0.0000, 0.0000, 4.7132]],
  "species": ["Ac", "Zn", "Pb"],
  "frac_coords": [[0.0000, 0.0000, 0.0000], [0.3333, 0.6667, 0.4225], [0.6667, 0.3333, 0.5237]]
}

---

2.
{
  "formula": "K2SiAu",
  "functional": "GGA-PBE",
  "state": "relaxed",
  "rho_g_cm3": 3.7,
  "final_energy_ev_per_atom": -2.854,
  "raw_formation_energy_ev_per_fu": -0.522,
  "sg": "Imm2, No. 44",
  "volume_a3_per_cell": 136.1,
  "cell": [[-2.3009, 2.9882, 4.9490], [2.3009, -2.9882, 4.9490], [2.3009, 2.9882, -4.9490]],
  "species": ["K", "K", "Si", "Au"],
  "frac_coords": [[0.0000, 0.0000, 0.0000], [0.6798, 0.1798, 0.5000], [0.3160, 0.8160, 0.5000], [0.3576, 0.3576, 0.0000]]
}

---

3.
{
  "formula": "Mn2TcTe",
  "functional": "GGA-PBE",
  "state": "relaxed",
  "rho_g_cm3": 8.7,
  "final_energy_ev_per_atom": -7.650,
  "raw_formation_energy_ev_per_fu": 1.248,
  "sg": "P4/mmm, No. 123",
  "volume_a3_per_cell": 64.3,
  "cell": [[3.3792, 0.0000, 0.0000], [0.0000, 3.3792, 0.0000], [0.0000, 0.0000, 5.6331]],
  "species": ["Mn", "Mn", "Tc", "Te"],
  "frac_coords": [[0.0000, 0.0000, 0.2341], [0.0000, 0.0000, 0.7659], [0.5000, 0.5000, 0.0000], [0.5000, 0.5000, 0.5000]]
}

---

4.
{
  "formula": "BaAg2Rh",
  "functional": "GGA-PBE",
  "state": "relaxed",
  "rho_g_cm3": 8.4,
  "polymorph_energy_kj_per_mol_atoms": 20.75,
  "final_energy_ev_per_atom": -3.590,
  "sg": "I4/mmm, No. 139",
  "formation_energy_ev_per_fu": 0.62,
  "volume_a3_per_cell": 89.9,
  "cell": [[-2.1238, 2.1238, 4.9847], [2.1238, -2.1238, 4.9847], [2.1238, 2.1238, -4.9847]],
  "species": ["Ba", "Ag", "Ag", "Rh"],
  "frac_coords": [[0.0000, 0.0000, 0.0000], [0.2500, 0.7500, 0.5000], [0.7500, 0.2500, 0.5000], [0.5000, 0.5000, 0.0000]]
}

---

5.
{
  "formula": "LiMgSi2",
  "functional": "GGA-PBE",
  "state": "relaxed",
  "rho_g_cm3": 2.3,
  "final_energy_ev_per_atom": -3.622,
  "raw_formation_energy_ev_per_fu": -0.135,
  "sg": "P4/mmm, No. 123",
  "volume_a3_per_cell": 61.9,
  "cell": [[3.9063, 0.0000, 0.0000], [0.0000, 3.9063, 0.0000], [0.0000, 0.0000, 4.0589]],
  "species": ["Li", "Mg", "Si", "Si"],
  "frac_coords": [[0.0000, 0.0000, 0.0000], [0.5000, 0.5000, 0.0000], [0.0000, 0.5000, 0.5000], [0.5000, 0.0000, 0.5000]]
}

---

6.
{
  "formula": "KCu2Ni",
  "functional": "GGA-PBE",
  "state": "relaxed",
  "rho_g_cm3": 4.9,
  "polymorph_energy_kj_per_mol_atoms": 2.62,
  "final_energy_ev_per_atom": -3.344,
  "sg": "C2/m, No. 12",
  "formation_energy_ev_per_fu": 1.69,
  "volume_a3_per_cell": 75.5,
  "cell": [[4.0805, -1.3893, 0.0000], [4.0805, 1.3893, 0.0000], [-0.7127, 0.0000, 6.6599]],
  "species": ["K", "Cu", "Cu", "Ni"],
  "frac_coords": [[0.0000, 0.0000, 0.0000], [0.2296, 0.2296, 0.6437], [0.7704, 0.7704, 0.3563], [0.5000, 0.5000, 0.5000]]
}